Density functional theory data (PBE-GGA) for a relaxed structure of Sr6P2ICl3.

Its total energy is -3.8795 eV/atom. As for the density of states at the Fermi level: 10.801 states/eV per cell. Its mass density is 3.619 g/cm³. As for the crystal system: monoclinic.

It has space group C2/m (No. 12), with a = 19.179 Å, b = 4.468 Å, c = 8.966 Å, α = 90.00°, β = 101.30° and γ = 90.00°. The distinct sites, in fractional coordinates, are Sr at (0.010, 0.000, 0.276), Sr at (0.173, 0.500, 0.564), Sr at (0.175, 0.500, 0.118), P at (0.166, 0.000, 0.332), I at (0.000, 0.500, 0.000), Cl at (0.000, 0.500, 0.500) and Cl at (0.163, 0.000, 0.840).

Density functional theory data (PBE-GGA) for a relaxed structure of Rb2CuHgSb.

Its total energy is -2.2322 eV/atom. As for the density of states at the Fermi level: 2.602 states/eV per cell. Its mass density is 4.340 g/cm³. As for the crystal system: tetragonal.

It has space group P4/mmm (No. 123), with a = 6.661 Å, b = 6.661 Å, c = 4.803 Å, α = 90.00°, β = 90.00° and γ = 90.00°. The distinct sites, in fractional coordinates, are Rb at (0.000, 0.500, 0.000), Cu at (0.000, 0.000, 0.000), Hg at (0.500, 0.500, 0.500) and Sb at (0.000, 0.000, 0.500).